Computed, not measured: a relaxed KLaNbN3 crystal at the GGA-PBE level of DFT.

Unit cell a=13.8786 b=4.0241 c=7.7222 alpha=90.00 beta=104.58 gamma=90.00
Space group C2/m (No. 12)
One atom of each set of equivalent atoms:
K (0.1687, 0.0000, 0.0729)
La (0.1467, 0.0000, 0.5682)
Nb (0.0081, 0.5000, 0.2227)
N (0.0100, 0.0000, 0.2819)
N (0.1314, 0.5000, 0.7679)
N (0.1566, 0.5000, 0.3660)

Properties
VASP energy	-178.95	eV per cell
total magnetic moment	0.8	μB per formula unit